DFT (GGA-PBE) results for a relaxed Cr2ReHIr crystal.

a b c (Å): 3.834 3.834 3.756
angles (deg): 90.00 90.00 90.00
Atoms (fractional coordinates):
Re (0.500, 0.500, 0.500)
Ir (0.000, 0.000, 0.500)
H (0.000, 0.000, 0.000)
Cr (0.000, 0.500, 0.000)
Cr (0.500, 0.000, 0.000)

**Energy above the lowest structure with this stoichiometry**: 0.018 eV/atom